1.
A PBEsol-optimized structure of Zr2SiAg, computed with SCAN.

* Fermi-level density of states: 0.57 states/eV/atom
* formation energy without anion corrections: -0.18 eV per atom

Unit cell a=3.6554 b=3.6554 c=5.7213 alpha=90.00 beta=90.00 gamma=90.00
Space group P4mm (No. 99)
Inequivalent atoms, fractional coordinates:
Zr: 0.0000 0.0000 0.0000
Zr: 0.5000 0.5000 0.3018
Si: 0.5000 0.5000 0.8140
Ag: 0.0000 0.0000 0.5268


2.
A PBEsol-optimized structure of ZrSiAg4, computed with SCAN.

* Fermi-level density of states: 0.89 states/eV/atom
* formation energy without anion corrections: 0.31 eV per atom

Unit cell a=7.5444 b=7.5444 c=7.5444 alpha=90.00 beta=90.00 gamma=90.00
Space group F-43m (No. 216)
Inequivalent atoms, fractional coordinates:
Zr: 0.0000 0.0000 0.0000
Si: 0.2500 0.2500 0.7500
Ag: 0.1251 0.1251 0.3749


3.
A PBEsol-optimized structure of Zr2SiAg, computed with SCAN.

* Fermi-level density of states: 0.64 states/eV/atom
* formation energy without anion corrections: -0.29 eV per atom

Unit cell a=3.1170 b=4.7960 c=9.7372 alpha=90.00 beta=90.00 gamma=90.00
Space group Imm2 (No. 44)
Inequivalent atoms, fractional coordinates:
Zr: 0.0000 0.0000 0.0000
Zr: 0.0000 0.5000 0.2270
Si: 0.0000 0.0000 0.4779
Ag: 0.0000 0.5000 0.7709


4.
A PBEsol-optimized structure of SmAg, computed with SCAN.

* DFT total energy: -38.252 eV/atom
* Fermi-level density of states: 0.42 states/eV/atom

Unit cell a=3.6405 b=3.6405 c=3.6405 alpha=90.00 beta=90.00 gamma=90.00
Space group Pm-3m (No. 221)
Inequivalent atoms, fractional coordinates:
Sm: 0.0000 0.0000 0.0000
Ag: 0.5000 0.5000 0.5000